DFT (PBE-GGA) results for a relaxed structure of Cu3PdF. Values from VASP.

```
&SYSTEM
  ibrav = 0, nat = 5, ntyp = 3
/
ATOMIC_SPECIES
Cu 63.55 Cu.upf
Pd 106.42 Pd.upf
F 19.00 F.upf
ATOMIC_POSITIONS angstrom
Cu 0.000 2.039 0.000
Cu 2.039 0.000 0.000
Cu 0.000 0.000 2.039
Pd 2.039 2.039 2.039
F 0.000 0.000 0.000
CELL_PARAMETERS angstrom
4.079 0.000 0.000
0.000 4.079 0.000
0.000 0.000 4.079
```

Results
* total moment: 0.00 μB per atom
* crystal system: cubic
* space group: Pm-3m
* energy relative to the elements, uncorrected: 0.048 eV per atom